Model 1:
Computed, not measured: a geometry-optimized CaLaEr structure at the PBE level of DFT.

Properties
* ρ: 5.32 g/cm3

a = 3.6836 Å, b = 3.6836 Å, c = 9.1919 Å
α = 90.00°, β = 90.00°, γ = 120.00°
Closest atoms and distances in Å follow each position.
Space group P3m1 (No. 156)
One atom of each set of equivalent atoms:
Ca  0.0000  0.0000  0.0000 (multiplicity 1)  6 Ca 3.68, 3 Er 3.74, 3 La 3.93
La  0.3333  0.6667  0.6408 (multiplicity 1)  3 Er 3.53, 6 La 3.68, 3 Ca 3.93
Er  0.6667  0.3333  0.3346 (multiplicity 1)  3 La 3.53, 6 Er 3.68, 3 Ca 3.74

---

Model 2:
Computed, not measured: a geometry-optimized CaLaEr structure at the PBE level of DFT.

Properties
* ρ: 5.14 g/cm3

a = 6.7834 Å, b = 3.5769 Å, c = 9.2179 Å
α = 90.00°, β = 90.00°, γ = 90.00°
Closest atoms and distances in Å follow each position.
Space group Pmma (No. 51)
One atom of each set of equivalent atoms:
Ca  0.2500  0.0000  0.1442 (multiplicity 2)  2 Ca 3.58, 2 Er 3.69, 6 La 3.82-3.90
La  0.2500  0.5000  0.7776 (multiplicity 2)  4 Er 3.55, 2 La 3.58, 6 Ca 3.82-3.90
Er  0.0000  0.0000  0.5000 (multiplicity 2)  4 Er 3.39-3.58, 4 La 3.55, 2 Ca 3.69

---

Most stable to least stable, the ends of the list are model 1 and model 2.

---

Model 1:
Computed, not measured: a geometry-optimized CaLaEr structure at the PBE level of DFT.

Properties
* ρ: 5.29 g/cm3

a = 3.7199 Å, b = 3.7199 Å, c = 15.7202 Å
α = 90.00°, β = 90.00°, γ = 90.00°
Closest atoms and distances in Å follow each position.
Space group I4mm (No. 107)
One atom of each set of equivalent atoms:
Ca  0.0000  0.0000  0.0000 (multiplicity 2)  4 Ca 3.72, 4 Er 3.74, 4 La 3.89
La  0.0000  0.0000  0.6821 (multiplicity 2)  4 Er 3.52, 4 La 3.72, 4 Ca 3.89
Er  0.0000  0.0000  0.3309 (multiplicity 2)  4 La 3.52, 4 Er 3.72, 4 Ca 3.74

---

Model 2:
Computed, not measured: a geometry-optimized CaLaEr structure at the PBE level of DFT.

Properties
* ρ: 5.30 g/cm3

a = 3.6898 Å, b = 3.6898 Å, c = 18.3991 Å
α = 90.00°, β = 90.00°, γ = 120.00°
Closest atoms and distances in Å follow each position.
Space group P3m1 (No. 156)
One atom of each set of equivalent atoms:
Ca  0.0000  0.0000  0.0000 (multiplicity 1)  9 Ca 3.69-3.92, 3 La 3.93
Ca  0.3333  0.6667  0.1789 (multiplicity 1)  9 Ca 3.69-3.92, 3 La 3.93
La  0.0000  0.0000  0.3585 (multiplicity 1)  3 Er 3.58, 6 La 3.69, 3 Ca 3.93
La  0.6667  0.3333  0.8206 (multiplicity 1)  3 Er 3.55, 6 La 3.69, 3 Ca 3.93
Er  0.3333  0.6667  0.6660 (multiplicity 1)  9 Er 3.50-3.69, 3 La 3.55
Er  0.6667  0.3333  0.5149 (multiplicity 1)  9 Er 3.50-3.69, 3 La 3.58

---

Most stable to least stable, the ends of the list are model 2 and model 1.